A geometry-optimized Nd2Al3Au2 structure. Source: Alexandria via LeMat-Bulk, functional GGA-PBE.

```
Nd2Al3Au2
1.0
2.202 -9.538 0.000
2.202 9.538 0.000
0.000 0.000 7.409
Nd Al Au
4 6 4
Direct
0.055 0.945 0.750
0.158 0.842 0.250
0.842 0.158 0.750
0.945 0.055 0.250
0.224 0.776 0.750
0.440 0.560 0.575
0.440 0.560 0.925
0.560 0.440 0.075
0.560 0.440 0.425
0.776 0.224 0.250
0.312 0.688 0.051
0.312 0.688 0.449
0.688 0.312 0.551
0.688 0.312 0.949
```

Output
Offset from the most stable computed form = 56 meV/atom
Calculated formation energy = -57.44 kJ/mol of atoms
Symmetry = Cmcm (63)
Crystal system = orthorhombic

***

A geometry-optimized Nd2AlAu5 structure. Source: Alexandria via LeMat-Bulk, functional GGA-PBE.

```
Nd2AlAu5
1.0
-3.251 3.251 4.377
3.251 -3.251 4.377
3.251 3.251 -4.377
Nd Al Au
2 1 5
Direct
0.000 0.500 0.500
0.500 0.000 0.500
0.210 0.210 0.000
0.506 0.506 0.000
0.530 0.530 0.555
0.530 0.975 0.000
0.975 0.530 0.000
0.975 0.975 0.445
```

Output
Calculated formation energy = -54.30 kJ/mol of atoms
Symmetry = I4mm (107)
Crystal system = tetragonal

***

A geometry-optimized Nd3Al2Au4 structure. Source: Alexandria via LeMat-Bulk, functional GGA-PBE.

```
Nd3Al2Au4
1.0
5.560 -2.313 0.000
5.560 2.313 0.000
-3.585 0.000 8.062
Nd Al Au
3 2 4
Direct
0.000 0.000 0.000
0.362 0.362 0.310
0.638 0.638 0.690
0.340 0.340 0.668
0.660 0.660 0.332
0.090 0.090 0.408
0.285 0.285 0.928
0.715 0.715 0.072
0.910 0.910 0.592
```

Output
Calculated formation energy = -74.27 kJ/mol of atoms
Symmetry = C2/m (12)
Crystal system = monoclinic